[1]
Entry from the Alexandria database: an optimized crystal structure of PrLuAu (PBE).

As for the density of states at the Fermi level: 1.278 states/eV/atom. For the offset from the most stable computed form, the calculation gives 0.0 meV/atom. As for the crystal system: tetragonal. As for the final energy: -4.7273 eV per atom.

The space group is I4mm (No. 107) and the conventional cell measures 3.600, 3.600 and 12.720 Å, with angles of 90.00, 90.00 and 90.00 degrees. Symmetry generates all atoms from Pr at (0.000, 0.000, 0.000), Lu at (0.000, 0.000, 0.287) and Au at (0.000, 0.000, 0.672).

***

[2]
Entry from the Alexandria database: an optimized crystal structure of PrLu2Au (PBE).

As for the density of states at the Fermi level: 1.039 states/eV/atom. For the offset from the most stable computed form, the calculation gives 117.4 meV/atom. As for the crystal system: trigonal. As for the final energy: -4.5819 eV per atom.

The space group is R-3m (No. 166, hexagonal axes) and the conventional cell measures 3.7089, 3.7089 and 29.4927 Å, with angles of 90.00, 90.00 and 120.00 degrees. Symmetry generates all atoms from Pr at (0.0000, 0.0000, 0.0000), Lu at (0.0000, 0.0000, 0.2331) and Au at (0.0000, 0.0000, 0.5000).

***

[3]
Entry from the Alexandria database: an optimized crystal structure of PrLuAu (PBE).

As for the density of states at the Fermi level: 1.237 states/eV/atom. For the offset from the most stable computed form, the calculation gives 123.8 meV/atom. As for the crystal system: cubic. As for the final energy: -4.6035 eV per atom.

The space group is F-43m (No. 216) and the conventional cell measures 7.117, 7.117 and 7.117 Å, with angles of 90.00, 90.00 and 90.00 degrees. Symmetry generates all atoms from Pr at (0.000, 0.000, 0.000), Lu at (0.000, 0.000, 0.500) and Au at (0.250, 0.250, 0.750).

***

[4]
Entry from the Alexandria database: an optimized crystal structure of PrLuAu (PBE).

As for the density of states at the Fermi level: 0.996 states/eV/atom. For the offset from the most stable computed form, the calculation gives 107.1 meV/atom. As for the crystal system: trigonal. As for the final energy: -4.6202 eV per atom.

The space group is P3m1 (No. 156) and the conventional cell measures 4.8902, 4.8902 and 4.0469 Å, with angles of 90.00, 90.00 and 120.00 degrees. Symmetry generates all atoms from Pr at (0.0000, 0.0000, 0.0000), Lu at (0.3333, 0.6667, 0.4960) and Au at (0.6667, 0.3333, 0.5642).

***

[5]
Entry from the Alexandria database: an optimized crystal structure of PrLu2Au (PBE).

As for the density of states at the Fermi level: 1.351 states/eV/atom. For the offset from the most stable computed form, the calculation gives 0.0 meV/atom. As for the crystal system: tetragonal. As for the final energy: -4.6993 eV per atom.

The space group is P4/mmm (No. 123) and the conventional cell measures 3.584, 3.584 and 8.518 Å, with angles of 90.00, 90.00 and 90.00 degrees. Symmetry generates all atoms from Pr at (0.000, 0.000, 0.000), Lu at (0.500, 0.500, 0.302) and Au at (0.000, 0.000, 0.500).

***

[6]
Entry from the Alexandria database: an optimized crystal structure of PrLuPtAu (PBE).

As for the density of states at the Fermi level: 0.623 states/eV/atom. As for the crystal system: cubic. As for the final energy: -5.6116 eV per atom.

The space group is F-43m (No. 216) and the conventional cell measures 7.181, 7.181 and 7.181 Å, with angles of 90.00, 90.00 and 90.00 degrees. Symmetry generates all atoms from Pr at (0.000, 0.000, 0.000), Lu at (0.000, 0.000, 0.500), Pt at (0.250, 0.250, 0.250) and Au at (0.250, 0.250, 0.750).

***

[7]
Entry from the Alexandria database: an optimized crystal structure of PrLuRhAu (PBE).

As for the density of states at the Fermi level: 0.955 states/eV/atom. As for the crystal system: cubic. As for the final energy: -5.7249 eV per atom.

The space group is F-43m (No. 216) and the conventional cell measures 7.121, 7.121 and 7.121 Å, with angles of 90.00, 90.00 and 90.00 degrees. Symmetry generates all atoms from Pr at (0.000, 0.000, 0.000), Lu at (0.000, 0.000, 0.500), Rh at (0.250, 0.250, 0.250) and Au at (0.250, 0.250, 0.750).

***

[8]
Entry from the Alexandria database: an optimized crystal structure of PrLuRuAu (PBE).

As for the density of states at the Fermi level: 0.660 states/eV/atom. As for the crystal system: cubic. As for the final energy: -5.9440 eV per atom.

The space group is F-43m (No. 216) and the conventional cell measures 7.087, 7.087 and 7.087 Å, with angles of 90.00, 90.00 and 90.00 degrees. Symmetry generates all atoms from Pr at (0.000, 0.000, 0.000), Lu at (0.000, 0.000, 0.500), Ru at (0.250, 0.250, 0.750) and Au at (0.250, 0.250, 0.250).

***

[9]
Entry from the Alexandria database: an optimized crystal structure of PrLuTlAu (PBE).

As for the density of states at the Fermi level: 0.769 states/eV/atom. As for the crystal system: cubic. As for the final energy: -4.2560 eV per atom.

The space group is F-43m (No. 216) and the conventional cell measures 7.502, 7.502 and 7.502 Å, with angles of 90.00, 90.00 and 90.00 degrees. Symmetry generates all atoms from Pr at (0.000, 0.000, 0.000), Lu at (0.000, 0.000, 0.500), Tl at (0.250, 0.250, 0.750) and Au at (0.250, 0.250, 0.250).

***

[10]
Entry from the Alexandria database: an optimized crystal structure of LuPt4Au (PBE).

As for the density of states at the Fermi level: 1.100 states/eV/atom. As for the crystal system: cubic. As for the final energy: -6.0079 eV per atom.

The space group is F-43m (No. 216) and the conventional cell measures 7.537, 7.537 and 7.537 Å, with angles of 90.00, 90.00 and 90.00 degrees. Symmetry generates all atoms from Lu at (0.000, 0.000, 0.000), Pt at (0.125, 0.125, 0.375) and Au at (0.250, 0.250, 0.750).

***

[11]
Entry from the Alexandria database: an optimized crystal structure of Lu2PtAu (PBE).

As for the density of states at the Fermi level: 0.627 states/eV/atom. As for the crystal system: tetragonal. As for the final energy: -5.6994 eV per atom.

The space group is P4/mmm (No. 123) and the conventional cell measures 3.461, 3.461 and 7.015 Å, with angles of 90.00, 90.00 and 90.00 degrees. Symmetry generates all atoms from Lu at (0.000, 0.000, 0.241), Pt at (0.500, 0.500, 0.000) and Au at (0.500, 0.500, 0.500).

***

[12]
Entry from the Alexandria database: an optimized crystal structure of LuPuPtAu (PBE).

As for the density of states at the Fermi level: 3.130 states/eV/atom. As for the crystal system: cubic. As for the final energy: -7.8197 eV per atom.

The space group is F-43m (No. 216) and the conventional cell measures 7.062, 7.062 and 7.062 Å, with angles of 90.00, 90.00 and 90.00 degrees. Symmetry generates all atoms from Lu at (0.000, 0.000, 0.000), Pu at (0.000, 0.000, 0.500), Pt at (0.250, 0.250, 0.750) and Au at (0.250, 0.250, 0.250).

***

[13]
Entry from the Alexandria database: an optimized crystal structure of LuSbPtAu (PBE).

As for the density of states at the Fermi level: 0.648 states/eV/atom. The formation energy without anion corrections is -694 meV/atom. As for the crystal system: cubic. As for the final energy: -5.1849 eV per atom.

The space group is F-43m (No. 216) and the conventional cell measures 6.895, 6.895 and 6.895 Å, with angles of 90.00, 90.00 and 90.00 degrees. Symmetry generates all atoms from Lu at (0.000, 0.000, 0.000), Sb at (0.000, 0.000, 0.500), Pt at (0.250, 0.250, 0.750) and Au at (0.250, 0.250, 0.250).

***

[14]
Entry from the Alexandria database: an optimized crystal structure of SrLuPtAu (PBE).

As for the density of states at the Fermi level: 0.425 states/eV/atom. As for the crystal system: cubic. As for the final energy: -4.6827 eV per atom.

The space group is F-43m (No. 216) and the conventional cell measures 7.201, 7.201 and 7.201 Å, with angles of 90.00, 90.00 and 90.00 degrees. Symmetry generates all atoms from Sr at (0.000, 0.000, 0.000), Lu at (0.000, 0.000, 0.500), Pt at (0.250, 0.250, 0.250) and Au at (0.250, 0.250, 0.750).

***

[15]
Entry from the Alexandria database: an optimized crystal structure of TbLuPtAu (PBE).

As for the density of states at the Fermi level: 0.655 states/eV/atom. As for the crystal system: cubic. As for the final energy: -5.6732 eV per atom.

The space group is F-43m (No. 216) and the conventional cell measures 7.036, 7.036 and 7.036 Å, with angles of 90.00, 90.00 and 90.00 degrees. Symmetry generates all atoms from Tb at (0.000, 0.000, 0.000), Lu at (0.000, 0.000, 0.500), Pt at (0.250, 0.250, 0.250) and Au at (0.250, 0.250, 0.750).

***

[16]
Entry from the Alexandria database: an optimized crystal structure of LuTiPtAu (PBE).

As for the density of states at the Fermi level: 1.141 states/eV/atom. As for the crystal system: cubic. As for the final energy: -6.1769 eV per atom.

The space group is F-43m (No. 216) and the conventional cell measures 6.711, 6.711 and 6.711 Å, with angles of 90.00, 90.00 and 90.00 degrees. Symmetry generates all atoms from Lu at (0.000, 0.000, 0.000), Ti at (0.000, 0.000, 0.500), Pt at (0.250, 0.250, 0.750) and Au at (0.250, 0.250, 0.250).

***

[17]
Entry from the Alexandria database: an optimized crystal structure of TmLuPtAu (PBE).

As for the density of states at the Fermi level: 0.623 states/eV/atom. As for the crystal system: cubic. As for the final energy: -5.6663 eV per atom.

The space group is F-43m (No. 216) and the conventional cell measures 6.971, 6.971 and 6.971 Å, with angles of 90.00, 90.00 and 90.00 degrees. Symmetry generates all atoms from Tm at (0.000, 0.000, 0.000), Lu at (0.000, 0.000, 0.500), Pt at (0.250, 0.250, 0.250) and Au at (0.250, 0.250, 0.750).

***

[18]
Entry from the Alexandria database: an optimized crystal structure of LuZrPtAu (PBE).

As for the density of states at the Fermi level: 0.574 states/eV/atom. As for the crystal system: cubic. As for the final energy: -6.4625 eV per atom.

The space group is F-43m (No. 216) and the conventional cell measures 6.867, 6.867 and 6.867 Å, with angles of 90.00, 90.00 and 90.00 degrees. Symmetry generates all atoms from Lu at (0.000, 0.000, 0.000), Zr at (0.000, 0.000, 0.500), Pt at (0.250, 0.250, 0.250) and Au at (0.250, 0.250, 0.750).

***

[19]
Entry from the Alexandria database: an optimized crystal structure of Lu2PuAu (PBE).

As for the density of states at the Fermi level: 2.647 states/eV/atom. For the offset from the most stable computed form, the calculation gives 144.7 meV/atom. As for the crystal system: trigonal. As for the final energy: -6.8697 eV per atom.

The space group is R-3m (No. 166, hexagonal axes) and the conventional cell measures 3.5324, 3.5324 and 29.6187 Å, with angles of 90.00, 90.00 and 120.00 degrees. Symmetry generates all atoms from Lu at (0.0000, 0.0000, 0.2383), Pu at (0.0000, 0.0000, 0.0000) and Au at (0.0000, 0.0000, 0.5000).

***

[20]
Entry from the Alexandria database: an optimized crystal structure of LuPuAu2 (PBE).

As for the density of states at the Fermi level: 4.066 states/eV/atom. For the offset from the most stable computed form, the calculation gives 173.0 meV/atom. As for the crystal system: trigonal. As for the final energy: -6.8349 eV per atom.

The space group is R-3m (No. 166, hexagonal axes) and the conventional cell measures 4.1758, 4.1758 and 20.7948 Å, with angles of 90.00, 90.00 and 120.00 degrees. Symmetry generates all atoms from Lu at (0.0000, 0.0000, 0.0000), Pu at (0.0000, 0.0000, 0.5000) and Au at (0.0000, 0.0000, 0.2561).